# 1
An optimized crystal structure of Ac3Rh2Pb. Source: the Alexandria database, functional PBE.

a b c (Å): 8.724 8.724 8.724
angles (deg): 132.38 73.52 127.56
Element x y z (fractional)
Ac 0.040 0.750 0.290
Ac 0.250 0.250 0.000
Ac 0.460 0.750 0.710
Ac 0.540 0.250 0.290
Ac 0.750 0.750 0.000
Ac 0.960 0.250 0.710
Rh 0.141 0.196 0.337
Rh 0.359 0.696 0.055
Rh 0.641 0.304 0.945
Rh 0.859 0.804 0.663
Pb 0.000 0.500 0.500
Pb 0.500 0.000 0.500

Computed properties:
DOS(E_F)	9.442	states/eV per cell
E_form	-0.508	eV/atom


# 2
An optimized crystal structure of AcRhPb. Source: the Alexandria database, functional PBE.

a b c (Å): 12.439 4.808 5.602
angles (deg): 90.00 100.55 90.00
Element x y z (fractional)
Ac 0.132 0.000 0.309
Ac 0.368 0.500 0.691
Ac 0.632 0.500 0.309
Ac 0.868 0.000 0.691
Rh 0.205 0.000 0.844
Rh 0.295 0.500 0.156
Rh 0.705 0.500 0.844
Rh 0.795 0.000 0.156
Pb 0.090 0.500 0.800
Pb 0.410 0.000 0.200
Pb 0.590 0.000 0.800
Pb 0.910 0.500 0.200

Computed properties:
DOS(E_F)	5.990	states/eV per cell
E_form	-0.617	eV/atom
energy above the most stable polymorph in this dataset	0	meV/atom


# 3
An optimized crystal structure of Ac6RhPb2. Source: the Alexandria database, functional PBE.

a b c (Å): 7.203 9.005 12.918
angles (deg): 90.00 122.11 90.00
Element x y z (fractional)
Ac 0.096 0.173 0.447
Ac 0.096 0.327 0.947
Ac 0.311 0.691 0.449
Ac 0.311 0.809 0.949
Ac 0.366 0.029 0.246
Ac 0.366 0.471 0.746
Ac 0.634 0.529 0.254
Ac 0.634 0.971 0.754
Ac 0.689 0.191 0.051
Ac 0.689 0.309 0.551
Ac 0.904 0.673 0.053
Ac 0.904 0.827 0.553
Rh 0.500 0.000 0.500
Rh 0.500 0.500 0.000
Pb 0.180 0.115 0.753
Pb 0.180 0.385 0.253
Pb 0.820 0.615 0.747
Pb 0.820 0.885 0.247

Computed properties:
DOS(E_F)	22.236	states/eV per cell
E_form	-0.417	eV/atom